[1]
! PBE LaCuC, relaxed; values from VASP
! Formation energy   0.12 eV/atom
! Theoretical density   6.463 g cm⁻³
! Final energy   -5.9624 eV per atom
! Total magnetic moment   0.00 Bohr magnetons per cell
&SYSTEM
  ibrav = 0, nat = 6, ntyp = 3
/
ATOMIC_SPECIES
C 12.01 C.upf
Cu 63.55 Cu.upf
La 138.91 La.upf
ATOMIC_POSITIONS angstrom
C -0.233 -4.472 -0.382
C -3.241 -2.994 1.185
Cu -2.755 -1.709 -0.219
Cu -1.470 -3.721 0.918
La 3.707 -5.239 2.948
La 1.347 -2.600 0.342
CELL_PARAMETERS angstrom
-3.688 -1.496 -2.251
5.749 -4.166 0.148
-1.179 -1.870 3.160

***

[2]
! PBE LaCuC, relaxed; values from VASP
! Formation energy   -0.05 eV/atom
! Theoretical density   6.738 g cm⁻³
! Final energy   -6.1344 eV per atom
! Total magnetic moment   0.00 Bohr magnetons per cell
&SYSTEM
  ibrav = 0, nat = 6, ntyp = 3
/
ATOMIC_SPECIES
C 12.01 C.upf
Cu 63.55 Cu.upf
La 138.91 La.upf
ATOMIC_POSITIONS angstrom
C -3.676 1.609 -1.134
C -2.991 1.400 0.018
Cu -4.733 0.555 -5.033
Cu -3.436 0.165 -2.826
La -6.237 0.866 -2.254
La -3.751 -1.249 -0.101
CELL_PARAMETERS angstrom
-1.580 3.213 1.488
-2.678 -0.566 -6.659
-3.005 -2.120 1.388

***

[3]
! PBE LaCuC2, relaxed; values from VASP
! Formation energy   0.75 eV/atom
! Theoretical density   6.505 g cm⁻³
! Final energy   -6.1215 eV per atom
! Total magnetic moment   0.00 Bohr magnetons per cell
&SYSTEM
  ibrav = 0, nat = 8, ntyp = 3
/
ATOMIC_SPECIES
C 12.01 C.upf
Cu 63.55 Cu.upf
La 138.91 La.upf
ATOMIC_POSITIONS angstrom
C 2.106 1.053 1.630
C 2.105 3.158 1.630
C 3.158 4.210 4.890
C 5.264 4.212 4.890
Cu 2.105 2.105 0.000
Cu 2.105 4.211 3.260
La 0.000 0.000 0.000
La 4.211 2.105 3.260
CELL_PARAMETERS angstrom
4.211 0.000 0.000
0.000 4.211 0.000
2.105 2.105 6.521

***

[4]
! PBE LaCuC, relaxed; values from VASP
! Formation energy   -0.04 eV/atom
! Theoretical density   6.545 g cm⁻³
! Final energy   -6.1266 eV per atom
! Total magnetic moment   0.00 Bohr magnetons per cell
&SYSTEM
  ibrav = 0, nat = 6, ntyp = 3
/
ATOMIC_SPECIES
C 12.01 C.upf
Cu 63.55 Cu.upf
La 138.91 La.upf
ATOMIC_POSITIONS angstrom
C -2.084 0.071 3.433
C -1.618 2.386 -0.501
Cu -1.965 0.511 -0.706
Cu -3.733 0.476 2.541
La -2.622 1.931 5.265
La -0.854 1.964 2.016
CELL_PARAMETERS angstrom
-3.297 0.806 -1.787
-3.536 -0.066 6.496
0.692 3.750 0.414

***

[5]
! PBE LaCuC, relaxed; values from VASP
! Formation energy   0.20 eV/atom
! Theoretical density   7.435 g cm⁻³
! Final energy   -5.8857 eV per atom
! Total magnetic moment   0.00 Bohr magnetons per cell
&SYSTEM
  ibrav = 0, nat = 6, ntyp = 3
/
ATOMIC_SPECIES
C 12.01 C.upf
Cu 63.55 Cu.upf
La 138.91 La.upf
ATOMIC_POSITIONS angstrom
C -1.428 -6.694 2.280
C -0.664 -1.964 -0.117
Cu 0.025 -8.184 2.889
Cu 0.793 -3.475 0.421
La 1.153 -5.555 2.366
La -1.928 -4.666 0.397
CELL_PARAMETERS angstrom
-1.595 -2.564 -2.374
2.607 -6.254 1.908
-2.251 -1.257 2.844

***

[6]
! PBE LaMnCuC, relaxed; values from VASP
! Formation energy   -0.11 eV/atom
! Theoretical density   7.196 g cm⁻³
! Final energy   -6.9666 eV per atom
! Total magnetic moment   2.05 Bohr magnetons per cell
&SYSTEM
  ibrav = 0, nat = 8, ntyp = 4
/
ATOMIC_SPECIES
La 138.91 La.upf
Mn 54.94 Mn.upf
Cu 63.55 Cu.upf
C 12.01 C.upf
ATOMIC_POSITIONS angstrom
La -3.280 -4.773 -6.610
La -1.061 -1.559 -2.181
Mn 0.496 1.144 -2.400
Mn 1.919 -0.707 -1.770
Cu -1.458 -4.091 -4.081
Cu -2.882 -2.240 -4.711
C 1.117 -0.368 -3.603
C -5.457 -5.963 -5.189
CELL_PARAMETERS angstrom
-0.216 2.070 -2.716
2.631 -1.633 -1.455
-6.756 -6.768 -4.621

***

[7]
! PBE La2MnCuC, relaxed; values from VASP
! Formation energy   -0.07 eV/atom
! Theoretical density   6.351 g cm⁻³
! Final energy   -6.5426 eV per atom
! Total magnetic moment   1.91 Bohr magnetons per cell
&SYSTEM
  ibrav = 0, nat = 5, ntyp = 4
/
ATOMIC_SPECIES
C 12.01 C.upf
Mn 54.94 Mn.upf
Cu 63.55 Cu.upf
La 138.91 La.upf
ATOMIC_POSITIONS angstrom
C 0.000 0.000 0.000
Mn 0.392 1.413 1.190
Cu -0.005 -0.931 4.103
La 1.630 -1.599 1.362
La -2.027 -0.745 1.551
CELL_PARAMETERS angstrom
-4.053 -1.490 3.101
3.259 -3.198 2.723
0.783 2.825 2.381

***

[8]
! PBE Na2LaCuC, relaxed; values from VASP
! Formation energy   2.16 eV/atom
! Theoretical density   1.792 g cm⁻³
! Final energy   -2.0209 eV per atom
! Total magnetic moment   0.28 Bohr magnetons per cell
&SYSTEM
  ibrav = 0, nat = 5, ntyp = 4
/
ATOMIC_SPECIES
Na 22.99 Na.upf
C 12.01 C.upf
Cu 63.55 Cu.upf
La 138.91 La.upf
ATOMIC_POSITIONS angstrom
Na 0.000 0.000 3.427
Na 3.427 0.000 0.000
C 3.427 2.569 3.427
Cu 0.000 2.569 0.000
La 0.000 0.000 0.000
CELL_PARAMETERS angstrom
6.855 0.000 0.000
0.000 5.137 0.000
0.000 0.000 6.855

***

[9]
! PBE La2CuNiC, relaxed; values from VASP
! Formation energy   -0.19 eV/atom
! Theoretical density   6.642 g cm⁻³
! Distance to the lowest polymorph of the same formula   0.0 meV/atom
! Final energy   -5.9821 eV per atom
! Total magnetic moment   0.00 Bohr magnetons per cell
&SYSTEM
  ibrav = 0, nat = 5, ntyp = 4
/
ATOMIC_SPECIES
Ni 58.69 Ni.upf
C 12.01 C.upf
Cu 63.55 Cu.upf
La 138.91 La.upf
ATOMIC_POSITIONS angstrom
Ni 0.000 0.000 1.828
C 0.000 0.000 0.000
Cu 2.654 2.654 1.828
La 0.000 2.654 0.000
La 2.654 0.000 0.000
CELL_PARAMETERS angstrom
5.308 0.000 0.000
0.000 5.308 0.000
0.000 0.000 3.656

***

[10]
! PBE La2CuNiC, relaxed; values from VASP
! Formation energy   -0.04 eV/atom
! Theoretical density   6.644 g cm⁻³
! Distance to the lowest polymorph of the same formula   154.3 meV/atom
! Final energy   -5.8278 eV per atom
! Total magnetic moment   0.00 Bohr magnetons per cell
&SYSTEM
  ibrav = 0, nat = 5, ntyp = 4
/
ATOMIC_SPECIES
Ni 58.69 Ni.upf
C 12.01 C.upf
Cu 63.55 Cu.upf
La 138.91 La.upf
ATOMIC_POSITIONS angstrom
Ni 2.620 2.620 1.876
C 0.000 0.000 0.000
Cu 0.000 0.000 1.876
La 0.000 2.620 0.000
La 2.620 0.000 0.000
CELL_PARAMETERS angstrom
5.239 0.000 0.000
0.000 5.239 0.000
0.000 0.000 3.752

***

[11]
! PBE La2CuPbC, relaxed; values from VASP
! Formation energy   -0.20 eV/atom
! Theoretical density   7.896 g cm⁻³
! Final energy   -5.5804 eV per atom
! Total magnetic moment   0.00 Bohr magnetons per cell
&SYSTEM
  ibrav = 0, nat = 5, ntyp = 4
/
ATOMIC_SPECIES
Pb 207.20 Pb.upf
C 12.01 C.upf
Cu 63.55 Cu.upf
La 138.91 La.upf
ATOMIC_POSITIONS angstrom
Pb -3.710 0.281 -2.249
C 0.000 0.000 0.000
Cu -1.528 0.795 0.922
La -1.615 -2.012 -0.940
La -0.567 1.498 -2.231
CELL_PARAMETERS angstrom
-1.134 2.996 -4.462
-3.231 -4.024 -1.881
-3.055 1.591 1.844

***

[12]
! PBE LaCu2PdC, relaxed; values from VASP
! Formation energy   0.48 eV/atom
! Theoretical density   7.082 g cm⁻³
! Final energy   -5.0306 eV per atom
! Total magnetic moment   0.00 Bohr magnetons per cell
&SYSTEM
  ibrav = 0, nat = 5, ntyp = 4
/
ATOMIC_SPECIES
C 12.01 C.upf
Cu 63.55 Cu.upf
Pd 106.42 Pd.upf
La 138.91 La.upf
ATOMIC_POSITIONS angstrom
C -1.337 -0.875 1.138
Cu 0.387 1.633 1.711
Cu -1.710 1.391 -0.940
Pd 0.000 0.000 0.000
La -2.660 2.149 1.908
CELL_PARAMETERS angstrom
-3.420 2.782 -1.881
-2.675 -1.750 2.276
0.775 3.265 3.422

***

[13]
! PBE La2CuPtC, relaxed; values from VASP
! Formation energy   -0.42 eV/atom
! Theoretical density   8.663 g cm⁻³
! Distance to the lowest polymorph of the same formula   0.0 meV/atom
! Final energy   -6.2609 eV per atom
! Total magnetic moment   0.00 Bohr magnetons per cell
&SYSTEM
  ibrav = 0, nat = 5, ntyp = 4
/
ATOMIC_SPECIES
C 12.01 C.upf
Cu 63.55 Cu.upf
Pt 195.08 Pt.upf
La 138.91 La.upf
ATOMIC_POSITIONS angstrom
C 0.000 0.000 0.000
Cu 0.000 0.000 1.893
Pt 2.635 2.635 1.893
La 0.000 2.635 0.000
La 2.635 0.000 0.000
CELL_PARAMETERS angstrom
5.270 0.000 0.000
0.000 5.270 0.000
0.000 0.000 3.785

***

[14]
! PBE La2CuPtC, relaxed; values from VASP
! Formation energy   -0.35 eV/atom
! Theoretical density   8.170 g cm⁻³
! Distance to the lowest polymorph of the same formula   68.0 meV/atom
! Final energy   -6.1929 eV per atom
! Total magnetic moment   0.00 Bohr magnetons per cell
&SYSTEM
  ibrav = 0, nat = 5, ntyp = 4
/
ATOMIC_SPECIES
C 12.01 C.upf
Cu 63.55 Cu.upf
Pt 195.08 Pt.upf
La 138.91 La.upf
ATOMIC_POSITIONS angstrom
C 0.000 0.000 0.000
Cu 0.813 -3.948 -1.360
Pt 1.868 -0.555 -0.068
La -0.403 -1.059 -2.422
La -0.652 -2.334 1.129
CELL_PARAMETERS angstrom
-1.304 -4.668 2.258
-0.805 -2.118 -4.843
3.735 -1.109 -0.136